First-principles (GGA-PBE) data for an optimized crystal structure of GdPaFe2, as listed in Alexandria.

a b c (Å): 4.717 4.717 4.717
angles (deg): 60.00 60.00 60.00
Positions (direct):
Gd 0.500 0.500 0.500
Pa 0.000 0.000 0.000
Fe 0.250 0.250 0.250
Fe 0.750 0.750 0.750

Results
Space-group type: No. 225
E_form: 11.7 kJ/mol of atoms
ΔE to the lowest computed polymorph: 171 meV per atom
DOS(E_F): 3.18 states/eV per cell